Entry 1:
The following is a SCAN calculation of a crystal of CsCrP2O7 relaxed with PBEsol, from Alexandria.

## Properties
Total DFT energy (no corrections), eV per atom: -13.539
Space-group type: P2_1/c

a = 7.6515 Å, b = 8.3207 Å, c = 9.8620 Å
α = 90.00°, β = 90.00°, γ = 105.21°
Closest atoms and distances in Å follow each position.
Fractional positions:
Cs 0.1939 0.0429 0.7993  8 O 2.92-3.23
Cs 0.8061 0.9571 0.2007  8 O 2.92-3.23
Cs 0.1939 0.5429 0.7007  8 O 2.92-3.23
Cs 0.8061 0.4571 0.2993  8 O 2.92-3.23
Cr 0.7597 0.7403 0.6008  6 O 1.94-2.00
Cr 0.2403 0.7597 0.1008  6 O 1.94-2.00
Cr 0.2403 0.2597 0.3992  6 O 1.94-2.00
Cr 0.7597 0.2403 0.8992  6 O 1.94-2.00
P 0.1296 0.8342 0.4051  4 O 1.50-1.62
P 0.1296 0.3342 0.0949  4 O 1.50-1.62
P 0.5752 0.8168 0.8725  4 O 1.52-1.63
P 0.8704 0.1658 0.5949  4 O 1.50-1.62
P 0.5752 0.3168 0.6275  4 O 1.52-1.63
P 0.4248 0.1832 0.1275  4 O 1.52-1.63
P 0.4248 0.6832 0.3725  4 O 1.52-1.63
P 0.8704 0.6658 0.9051  4 O 1.50-1.62
O 0.6157 0.2310 0.0688  1 P 1.52
O 0.6823 0.7016 0.9546  2 P 1.62-1.63
O 0.4351 0.2377 0.2769  1 P 1.54
O 0.6157 0.7310 0.4312  1 P 1.52
O 0.6827 0.9950 0.8978  1 P 1.52
O 0.1537 0.0191 0.4149  1 P 1.50
O 0.3173 0.0050 0.1022  1 P 1.52
O 0.3173 0.5050 0.3978  1 P 1.52
O 0.0179 0.7691 0.9976  1 P 1.53
O 0.4351 0.7377 0.2231  1 P 1.54
O 0.0929 0.7635 0.2609  1 P 1.54
O 0.8463 0.4809 0.9149  1 P 1.50
O 0.9071 0.2365 0.7391  1 P 1.54
O 0.3843 0.7690 0.9312  1 P 1.52
O 0.6827 0.4950 0.6022  1 P 1.52
O 0.3177 0.2984 0.0454  2 P 1.62-1.63
O 0.6823 0.2016 0.5454  2 P 1.62-1.63
O 0.9821 0.2309 0.0024  1 P 1.53
O 0.9821 0.7309 0.4976  1 P 1.53
O 0.5649 0.2623 0.7769  1 P 1.54
O 0.3177 0.7984 0.4546  2 P 1.62-1.63
O 0.3843 0.2690 0.5688  1 P 1.52
O 0.9071 0.7365 0.7609  1 P 1.54
O 0.0179 0.2691 0.5024  1 P 1.53
O 0.8463 0.9809 0.5851  1 P 1.50
O 0.1537 0.5191 0.0851  1 P 1.50
O 0.0929 0.2635 0.2391  1 P 1.54
O 0.5649 0.7623 0.7231  1 P 1.54

Entry 2:
The following is a SCAN calculation of a crystal of CsCrS2O8 relaxed with PBEsol, from Alexandria.

## Properties
Total DFT energy (no corrections), eV per atom: -12.385
Space-group type: P321

a = 5.0918 Å, b = 5.0918 Å, c = 8.4241 Å
α = 90.00°, β = 90.00°, γ = 120.00°
Closest atoms and distances in Å follow each position.
Fractional positions:
Cs 0.0000 0.0000 0.0000  12 O 3.13-3.39
Cr 0.0000 0.0000 0.5000  6 O 1.95
S 0.3333 0.6667 0.3018  4 O 1.46-1.48
S 0.6667 0.3333 0.6982  4 O 1.46-1.48
O 0.3333 0.6667 0.1290  1 S 1.46
O 0.6667 0.3333 0.8710  1 S 1.46
O 0.1879 0.3486 0.3584  1 S 1.48
O 0.1607 0.8121 0.3584  1 S 1.48
O 0.8121 0.1607 0.6416  1 S 1.48
O 0.6514 0.8393 0.3584  1 S 1.48
O 0.8393 0.6514 0.6416  1 S 1.48
O 0.3486 0.1879 0.6416  1 S 1.48

The highest total DFT energy (no corrections) belongs to which entry? CsCrS2O8